Th2CF2 | the Alexandria database | PBE | optimized geometry; crystal system = hexagonal; formation energy without anion corrections = -1.87 eV per atom; mass density = 9.7 g cm⁻³; magnetization = 0.0 μB/f.u.
1.0
3.833 0.000 0.000
-1.917 3.320 0.000
0.000 0.000 13.846
Th C F
4 2 4
Cartesian
0.000 0.000 1.956
0.000 0.000 4.967
0.000 0.000 8.879
0.000 0.000 11.890
0.000 2.213 3.461
1.917 1.107 10.384
0.000 2.213 7.769
0.000 2.213 13.000
1.917 1.107 0.846
1.917 1.107 6.077

Th8C6F | the Alexandria database | PBE | optimized geometry; crystal system = trigonal; formation energy without anion corrections = -0.39 eV per atom; mass density = 10.0 g cm⁻³; magnetization = 0.0 μB/f.u.
1.0
9.882 0.000 0.000
-4.941 8.558 0.000
0.000 0.000 3.813
Th C F
8 6 1
Cartesian
-2.973 5.799 0.971
1.405 3.083 0.971
0.000 5.705 2.859
3.373 0.325 2.843
1.568 8.233 0.971
4.941 2.853 0.954
3.535 5.474 2.843
7.914 2.759 2.843
-1.048 4.115 0.945
-0.853 7.408 0.945
3.039 2.965 2.869
1.902 5.592 0.945
5.794 1.149 2.869
5.989 4.443 2.869
0.000 0.000 1.907

Th4C3F | the Alexandria database | PBE | optimized geometry; crystal system = orthorhombic; formation energy without anion corrections = -0.89 eV per atom; mass density = 10.8 g cm⁻³; magnetization = 0.0 μB/f.u.
1.0
3.798 -5.308 0.000
3.798 5.308 0.000
0.000 0.000 3.757
Th C F
4 3 1
Cartesian
1.772 0.000 1.879
3.798 2.715 0.000
3.798 -2.715 0.000
5.824 0.000 1.879
0.000 0.000 0.000
1.899 2.654 1.879
1.899 -2.654 1.879
3.798 0.000 0.000

Which value of magnetization does entry 3 give? 0.0 μB/f.u.

Which formula does entry 3 have? Th4C3F

mass density of number 1 (Th2CF2)? 9.7 g cm⁻³